(1)
Crystalline YTlP2 at its relaxed geometry, computed with PBE.

Cell: 6.2728 6.2728 12.2034 Å, 90.00 90.00 90.00°
Space group I-42d (No. 122)
One atom of each set of equivalent atoms:
Y (0.0000, 0.0000, 0.0000) (multiplicity 4)
Tl (0.0000, 0.0000, 0.5000) (multiplicity 4)
P (0.2406, 0.2500, 0.6250) (multiplicity 8)

Output
As for the calculated total energy: -5.28 eV per atom. For the density of states at the Fermi level, the calculation gives 0.000 states/eV/atom. For the formation energy, the calculation gives -36 kJ/mol of atoms.

---

(2)
Crystalline Zn6RhAu at its relaxed geometry, computed with PBE.

Cell: 5.8451 7.5157 10.8793 Å, 90.00 90.00 90.00°
Space group Fmmm (No. 69)
One atom of each set of equivalent atoms:
Zn (0.0000, 0.0000, 0.2428) (multiplicity 8)
Zn (0.2500, 0.2500, 0.1244) (multiplicity 16)
Rh (0.0000, 0.0000, 0.0000) (multiplicity 4)
Au (0.0000, 0.0000, 0.5000) (multiplicity 4)

Output
As for the calculated total energy: -2.46 eV per atom. For the density of states at the Fermi level, the calculation gives 0.303 states/eV/atom. For the formation energy, the calculation gives -17 kJ/mol of atoms.

---

(3)
Crystalline LaNdGdY at its relaxed geometry, computed with PBE.

Cell: 8.2101 8.2101 8.2101 Å, 90.00 90.00 90.00°
Space group F-43m (No. 216)
One atom of each set of equivalent atoms:
La (0.0000, 0.0000, 0.0000) (multiplicity 4)
Nd (0.0000, 0.0000, 0.5000) (multiplicity 4)
Gd (0.2500, 0.2500, 0.2500) (multiplicity 4)
Y (0.2500, 0.2500, 0.7500) (multiplicity 4)

Output
As for the calculated total energy: -7.46 eV per atom. For the density of states at the Fermi level, the calculation gives 2.002 states/eV/atom. For the formation energy, the calculation gives 9 kJ/mol of atoms.

---

(4)
Crystalline Pm4SiPtBr2 at its relaxed geometry, computed with PBE.

Cell: 7.5859 4.1446 7.6563 Å, 90.00 107.64 90.00°
Space group P2/m (No. 10)
One atom of each set of equivalent atoms:
Pm (0.2266, 0.0000, 0.2016) (multiplicity 2)
Pm (0.2632, 0.5000, 0.7870) (multiplicity 2)
Si (0.5000, 0.0000, 0.0000) (multiplicity 1)
Pt (0.0000, 0.5000, 0.0000) (multiplicity 1)
Br (0.0000, 0.0000, 0.5000) (multiplicity 1)
Br (0.5000, 0.5000, 0.5000) (multiplicity 1)

Output
As for the calculated total energy: -5.34 eV per atom. For the density of states at the Fermi level, the calculation gives 0.714 states/eV/atom. As for the uncorrected formation energy: -1.1142 eV per atom.

---

(5)
Crystalline La2ZnOs at its relaxed geometry, computed with PBE.

Cell: 6.1237 4.3141 8.3063 Å, 90.00 111.07 90.00°
Space group P2_1/m (No. 11)
One atom of each set of equivalent atoms:
La (0.1816, 0.2500, 0.4145) (multiplicity 2)
La (0.2701, 0.7500, 0.0549) (multiplicity 2)
Zn (0.3649, 0.7500, 0.7155) (multiplicity 2)
Os (0.1444, 0.2500, 0.7809) (multiplicity 2)

Output
As for the calculated total energy: -5.80 eV per atom. For the density of states at the Fermi level, the calculation gives 0.837 states/eV/atom. For the formation energy, the calculation gives -21 kJ/mol of atoms.

---

(6)
Crystalline YSiOs2 at its relaxed geometry, computed with PBE.

Cell: 10.1523 3.0491 4.9631 Å, 90.00 112.72 90.00°
Space group Cm (No. 8)
One atom of each set of equivalent atoms:
Y (0.0000, 0.0000, 0.0000) (multiplicity 2)
Si (0.2905, 0.5000, 0.2975) (multiplicity 2)
Os (0.0017, 0.5000, 0.5132) (multiplicity 2)
Os (0.2276, 0.0000, 0.6096) (multiplicity 2)

Output
As for the calculated total energy: -8.61 eV per atom. For the density of states at the Fermi level, the calculation gives 0.779 states/eV/atom. As for the uncorrected formation energy: -0.0219 eV per atom.

---

(7)
Crystalline TbNd2Pt9 at its relaxed geometry, computed with PBE.

Cell: 5.4490 5.4490 26.8296 Å, 90.00 90.00 120.00°
Space group R-3m (No. 166, hexagonal axes)
One atom of each set of equivalent atoms:
Tb (0.0000, 0.0000, 0.0000) (multiplicity 3)
Nd (0.0000, 0.0000, 0.1388) (multiplicity 6)
Pt (0.0000, 0.0000, 0.3330) (multiplicity 6)
Pt (0.0000, 0.0000, 0.5000) (multiplicity 3)
Pt (0.0035, 0.5018, 0.9160) (multiplicity 18)

Output
As for the calculated total energy: -6.62 eV per atom. For the density of states at the Fermi level, the calculation gives 0.834 states/eV/atom. For the formation energy, the calculation gives -88 kJ/mol of atoms.

---

(8)
Crystalline Dy4TcPd at its relaxed geometry, computed with PBE.

Cell: 6.4057 7.6137 7.8519 Å, 113.74 108.31 100.66°
Space group P-1 (No. 2)
One atom of each set of equivalent atoms:
Dy (0.0114, 0.2332, 0.3701) (multiplicity 2)
Dy (0.2010, 0.2958, 0.8487) (multiplicity 2)
Dy (0.3545, 0.9514, 0.1523) (multiplicity 2)
Dy (0.3615, 0.6390, 0.3708) (multiplicity 2)
Tc (0.2522, 0.0022, 0.5048) (multiplicity 2)
Pd (0.3837, 0.6341, 0.7704) (multiplicity 2)

Output
As for the calculated total energy: -6.04 eV per atom. For the density of states at the Fermi level, the calculation gives 0.761 states/eV/atom. For the formation energy, the calculation gives -36 kJ/mol of atoms.

---

(9)
Crystalline PmErCd2 at its relaxed geometry, computed with PBE.

Cell: 3.7276 3.7276 7.7323 Å, 90.00 90.00 90.00°
Space group P4/mmm (No. 123)
One atom of each set of equivalent atoms:
Pm (0.0000, 0.0000, 0.0000) (multiplicity 1)
Er (0.0000, 0.0000, 0.5000) (multiplicity 1)
Cd (0.5000, 0.5000, 0.2662) (multiplicity 2)

Output
As for the calculated total energy: -3.10 eV per atom. For the density of states at the Fermi level, the calculation gives 1.024 states/eV/atom. For the formation energy, the calculation gives -30 kJ/mol of atoms.

---

(10)
Crystalline TbZnCd at its relaxed geometry, computed with PBE.

Cell: 13.1530 4.1320 7.4617 Å, 90.00 90.00 90.00°
Space group Pmma (No. 51)
One atom of each set of equivalent atoms:
Tb (0.0429, 0.0000, 0.2427) (multiplicity 4)
Tb (0.2500, 0.0000, 0.8539) (multiplicity 2)
Zn (0.0917, 0.5000, 0.9485) (multiplicity 4)
Zn (0.2500, 0.0000, 0.4433) (multiplicity 2)
Cd (0.1186, 0.5000, 0.5703) (multiplicity 4)
Cd (0.2500, 0.5000, 0.1970) (multiplicity 2)

Output
As for the calculated total energy: -2.62 eV per atom. For the density of states at the Fermi level, the calculation gives 0.767 states/eV/atom. For the formation energy, the calculation gives -33 kJ/mol of atoms.

---

(11)
Crystalline Ti3AsN at its relaxed geometry, computed with PBE.

Cell: 3.2598 10.3458 7.9641 Å, 90.00 90.00 90.00°
Space group Cmcm (No. 63)
One atom of each set of equivalent atoms:
Ti (0.0000, 0.0532, 0.2500) (multiplicity 4)
Ti (0.0000, 0.3713, 0.0510) (multiplicity 8)
As (0.0000, 0.2541, 0.7500) (multiplicity 4)
N (0.0000, 0.0000, 0.0000) (multiplicity 4)

Output
As for the calculated total energy: -8.60 eV per atom. For the density of states at the Fermi level, the calculation gives 0.359 states/eV/atom. As for the uncorrected formation energy: -1.2680 eV per atom.

---

(12)
Crystalline HfMoRu at its relaxed geometry, computed with PBE.

Cell: 9.7395 4.5196 5.5348 Å, 90.00 124.28 90.00°
Space group Cm (No. 8)
One atom of each set of equivalent atoms:
Hf (0.0000, 0.0000, 0.0000) (multiplicity 2)
Hf (0.1529, 0.5000, 0.8167) (multiplicity 2)
Mo (0.3358, 0.0000, 0.1772) (multiplicity 2)
Mo (0.4804, 0.5000, 0.4751) (multiplicity 2)
Ru (0.1579, 0.5000, 0.3176) (multiplicity 2)
Ru (0.3319, 0.0000, 0.6769) (multiplicity 2)

Output
As for the calculated total energy: -10.19 eV per atom. For the density of states at the Fermi level, the calculation gives 0.778 states/eV/atom. For the formation energy, the calculation gives -16 kJ/mol of atoms.